# 1
DFT (PBE) results for YHf2Ti after structural relaxation.

Structure (CIF):
```
data_YHf2Ti
_cell_length_a 4.315
_cell_length_b 4.315
_cell_length_c 20.668
_cell_angle_alpha 90.00
_cell_angle_beta 90.00
_cell_angle_gamma 90.00
_space_group_name_H-M_alt 'I -4 2 d'
_space_group_IT_number 122
_space_group_name_Hall 'I -4 2bw'
loop_
_atom_site_label
_atom_site_fract_x
_atom_site_fract_y
_atom_site_fract_z
Y1 0.000 0.000 0.000
Hf1 0.237 0.250 0.625
Ti1 0.000 0.000 0.500
```

Results
- total energy (eV per atom) = -7.968
- formation energy (kJ/mol of formula units) = 231
- offset from the most stable computed form (meV/atom) = 427.6

# 2
DFT (PBE) results for BaSr2P after structural relaxation.

Structure (CIF):
```
data_BaSr2P
_cell_length_a 4.4781
_cell_length_b 4.4781
_cell_length_c 33.3274
_cell_angle_alpha 90.00
_cell_angle_beta 90.00
_cell_angle_gamma 120.00
_space_group_name_H-M_alt 'R -3 m'
_space_group_IT_number 166
_space_group_name_Hall '-R 3 2"'
loop_
_atom_site_label
_atom_site_fract_x
_atom_site_fract_y
_atom_site_fract_z
Ba1 0.0000 0.0000 0.0000
Sr1 0.0000 0.0000 0.2136
P1 0.0000 0.0000 0.5000
```

Results
- total energy (eV per atom) = -3.281
- formation energy (kJ/mol of formula units) = -234

# 3
DFT (PBE) results for La8Co2Pb after structural relaxation.

Structure (CIF):
```
data_La8Co2Pb
_cell_length_a 8.788
_cell_length_b 14.215
_cell_length_c 5.561
_cell_angle_alpha 90.00
_cell_angle_beta 103.06
_cell_angle_gamma 90.00
_space_group_name_H-M_alt 'C 1 2/m 1'
_space_group_IT_number 12
loop_
_space_group_symop_operation_xyz
'x,y,z'
'-x,-y,-z'
'-x,y,-z'
'x,-y,z'
'x+1/2,y+1/2,z'
'-x+1/2,-y+1/2,-z'
'-x+1/2,y+1/2,-z'
'x+1/2,-y+1/2,z'
loop_
_atom_site_label
_atom_site_fract_x
_atom_site_fract_y
_atom_site_fract_z
La1 0.000 0.249 0.000
La2 0.095 0.000 0.796
La3 0.207 0.373 0.553
Co1 0.000 0.218 0.500
Pb1 0.000 0.500 0.000
```

Results
- total energy (eV per atom) = -5.343
- formation energy (kJ/mol of formula units) = -139

# 4
DFT (PBE) results for Li2Sc2Si3 after structural relaxation.

Structure (CIF):
```
data_Li2Sc2Si3
_cell_length_a 4.036
_cell_length_b 17.317
_cell_length_c 6.532
_cell_angle_alpha 90.00
_cell_angle_beta 90.00
_cell_angle_gamma 90.00
_space_group_name_H-M_alt 'C m c m'
_space_group_IT_number 63
_space_group_name_Hall '-C 2c 2'
loop_
_atom_site_label
_atom_site_fract_x
_atom_site_fract_y
_atom_site_fract_z
Li1 0.000 0.192 0.059
Sc1 0.000 0.345 0.250
Sc2 0.000 0.447 0.750
Si1 0.000 0.061 0.569
Si2 0.000 0.278 0.750
```

Results
- total energy (eV per atom) = -5.180
- E_form (uncorrected) (eV/atom) = -0.500

# 5
DFT (PBE) results for Ir2PtC after structural relaxation.

Structure (CIF):
```
data_Ir2PtC
_cell_length_a 6.354
_cell_length_b 6.354
_cell_length_c 5.427
_cell_angle_alpha 90.00
_cell_angle_beta 90.00
_cell_angle_gamma 90.00
_space_group_name_H-M_alt 'I -4 2 d'
_space_group_IT_number 122
_space_group_name_Hall 'I -4 2bw'
loop_
_atom_site_label
_atom_site_fract_x
_atom_site_fract_y
_atom_site_fract_z
Ir1 0.155 0.250 0.125
Pt1 0.000 0.000 0.500
C1 0.000 0.000 0.000
```

Results
- total energy (eV per atom) = -7.758
- formation energy (kJ/mol of formula units) = 189

# 6
DFT (PBE) results for Sc3GaN after structural relaxation.

Structure (CIF):
```
data_Sc3GaN
_cell_length_a 4.698
_cell_length_b 4.698
_cell_length_c 21.115
_cell_angle_alpha 90.00
_cell_angle_beta 90.00
_cell_angle_gamma 90.00
_space_group_name_H-M_alt 'I -4 m 2'
_space_group_IT_number 119
_space_group_name_Hall 'I -4 -2'
loop_
_atom_site_label
_atom_site_fract_x
_atom_site_fract_y
_atom_site_fract_z
Sc1 0.000 0.000 0.196
Sc2 0.000 0.231 0.629
Ga1 0.000 0.000 0.500
Ga2 0.000 0.500 0.750
N1 0.000 0.500 0.151
```

Results
- total energy (eV per atom) = -5.562
- E_form (uncorrected) (eV/atom) = 0.507

# 7
DFT (PBE) results for CaDyBi2 after structural relaxation.

Structure (CIF):
```
data_CaDyBi2
_cell_length_a 5.889
_cell_length_b 5.889
_cell_length_c 3.470
_cell_angle_alpha 90.00
_cell_angle_beta 90.00
_cell_angle_gamma 90.00
_space_group_name_H-M_alt 'P 4/m m m'
_space_group_IT_number 123
_space_group_name_Hall '-P 4 2'
loop_
_atom_site_label
_atom_site_fract_x
_atom_site_fract_y
_atom_site_fract_z
Ca1 0.000 0.000 0.000
Dy1 0.500 0.500 0.000
Bi1 0.000 0.500 0.500
```

Results
- total energy (eV per atom) = -4.254
- formation energy (kJ/mol of formula units) = -256
- offset from the most stable computed form (meV/atom) = 72.9

# 8
DFT (PBE) results for MnCoSb after structural relaxation.

Structure (CIF):
```
data_MnCoSb
_cell_length_a 3.1451
_cell_length_b 3.1451
_cell_length_c 5.9778
_cell_angle_alpha 90.00
_cell_angle_beta 90.00
_cell_angle_gamma 120.00
_space_group_name_H-M_alt 'P 3 m 1'
_space_group_IT_number 156
loop_
_space_group_symop_operation_xyz
'x,y,z'
'-y,x-y,z'
'-x+y,-x,z'
'-y,-x,z'
'-x+y,y,z'
'x,x-y,z'
loop_
_atom_site_label
_atom_site_fract_x
_atom_site_fract_y
_atom_site_fract_z
Mn1 0.0000 0.0000 0.0000
Co1 0.3333 0.6667 0.7112
Sb1 0.6667 0.3333 0.3906
```

Results
- total energy (eV per atom) = -6.424
- E_form (uncorrected) (eV/atom) = 0.376

# 9
DFT (PBE) results for LaGe2Os after structural relaxation.

Structure (CIF):
```
data_LaGe2Os
_cell_length_a 4.347
_cell_length_b 18.195
_cell_length_c 4.276
_cell_angle_alpha 90.00
_cell_angle_beta 90.00
_cell_angle_gamma 90.00
_space_group_name_H-M_alt 'C m m m'
_space_group_IT_number 65
_space_group_name_Hall '-C 2 2'
loop_
_atom_site_label
_atom_site_fract_x
_atom_site_fract_y
_atom_site_fract_z
La1 0.000 0.147 0.000
Ge1 0.000 0.000 0.500
Ge2 0.000 0.290 0.500
Ge3 0.000 0.500 0.000
Os1 0.000 0.425 0.500
```

Results
- total energy (eV per atom) = -6.786
- formation energy (kJ/mol of formula units) = -169

# 10
DFT (PBE) results for AcLa2ReN5 after structural relaxation.

Structure (CIF):
```
data_AcLa2ReN5
_cell_length_a 6.969
_cell_length_b 6.969
_cell_length_c 6.021
_cell_angle_alpha 90.00
_cell_angle_beta 90.00
_cell_angle_gamma 90.00
_space_group_name_H-M_alt 'P 4/m b m'
_space_group_IT_number 127
_space_group_name_Hall '-P 4 2ab'
loop_
_atom_site_label
_atom_site_fract_x
_atom_site_fract_y
_atom_site_fract_z
Ac1 0.000 0.000 0.000
La1 0.171 0.329 0.500
Re1 0.000 0.500 0.000
N1 0.000 0.000 0.500
N2 0.138 0.638 0.225
```

Results
- total energy (eV per atom) = -8.369
- E_form (uncorrected) (eV/atom) = -0.809

# 11
DFT (PBE) results for Li3TbNp2Se6 after structural relaxation.

Structure (CIF):
```
data_Li3TbNp2Se6
_cell_length_a 7.095
_cell_length_b 12.287
_cell_length_c 6.906
_cell_angle_alpha 90.00
_cell_angle_beta 110.03
_cell_angle_gamma 90.00
_space_group_name_H-M_alt 'C 1 2/m 1'
_space_group_IT_number 12
loop_
_space_group_symop_operation_xyz
'x,y,z'
'-x,-y,-z'
'-x,y,-z'
'x,-y,z'
'x+1/2,y+1/2,z'
'-x+1/2,-y+1/2,-z'
'-x+1/2,y+1/2,-z'
'x+1/2,-y+1/2,z'
loop_
_atom_site_label
_atom_site_fract_x
_atom_site_fract_y
_atom_site_fract_z
Li1 0.000 0.000 0.000
Li2 0.000 0.335 0.000
Tb1 0.000 0.500 0.500
Np1 0.000 0.167 0.500
Se1 0.248 0.167 0.244
Se2 0.248 0.500 0.244
```

Results
- total energy (eV per atom) = -6.114
- E_form (uncorrected) (eV/atom) = -1.351

# 12
DFT (PBE) results for RbNpF5 after structural relaxation.

Structure (CIF):
```
data_RbNpF5
_cell_length_a 10.558
_cell_length_b 7.844
_cell_length_c 9.062
_cell_angle_alpha 90.00
_cell_angle_beta 112.69
_cell_angle_gamma 90.00
_space_group_name_H-M_alt 'C 1 2/c 1'
_space_group_IT_number 15
loop_
_space_group_symop_operation_xyz
'x,y,z'
'-x,-y,-z'
'-x,y,-z+1/2'
'x,-y,z+1/2'
'x+1/2,y+1/2,z'
'-x+1/2,-y+1/2,-z'
'-x+1/2,y+1/2,-z+1/2'
'x+1/2,-y+1/2,z+1/2'
loop_
_atom_site_label
_atom_site_fract_x
_atom_site_fract_y
_atom_site_fract_z
Rb1 0.000 0.025 0.250
Np1 0.000 0.500 0.000
F1 0.000 0.456 0.250
F2 0.011 0.229 0.980
F3 0.216 0.485 0.601
```

Results
- total energy (eV per atom) = -6.664
- E_form (uncorrected) (eV/atom) = -3.341

Q: Which of these has the highest total energy?
A: BaSr2P

Q: Which formula does entry 8 have?
A: MnCoSb